# PBE-GGA Ir3Os5, relaxed
data_Ir3Os5
_chemical_formula_sum 'Ir6 Os10'
_cell_length_a 7.7919
_cell_length_b 7.7919
_cell_length_c 4.6855
_cell_angle_alpha 90.00
_cell_angle_beta 90.00
_cell_angle_gamma 60.00
_symmetry_space_group_name_H-M 'P 1'
_symmetry_Int_Tables_number 1
loop_
_symmetry_equiv_pos_as_xyz
'x,y,z'
loop_
_atom_site_label
_atom_site_type_symbol
_atom_site_fract_x
_atom_site_fract_y
_atom_site_fract_z
Ir1 Ir 0.6053 0.3947 0.7500
Ir2 Ir 0.3947 0.6053 0.2500
Ir3 Ir 0.3947 0.0000 0.7500
Ir4 Ir 0.0000 0.3947 0.2500
Ir5 Ir 0.6054 0.0000 0.2500
Ir6 Ir 0.0000 0.6054 0.7500
Os1 Os 0.8052 0.1948 0.2500
Os2 Os 0.1948 0.8052 0.7500
Os3 Os 0.1948 0.0000 0.2500
Os4 Os 0.0000 0.1948 0.7500
Os5 Os 0.6667 0.6667 0.0000
Os6 Os 0.6667 0.6667 0.5000
Os7 Os 0.3333 0.3333 0.0000
Os8 Os 0.3333 0.3333 0.5000
Os9 Os 0.8052 0.0000 0.7500
Os10 Os 0.0000 0.8052 0.2500
# Magnetic moment = 0.0 Bohr magnetons per cell
# Energy of formation from the pure elements = 0.550 eV per atom
# DFT total energy = -78.3 eV per formula unit
# Energy above the most stable polymorph in this dataset = 0.544 eV per atom
# Calculated volume = 15.398 Å³ per atom

***

# PBE-GGA V2CrRh6, relaxed
data_V2CrRh6
_chemical_formula_sum 'V2 Cr1 Rh6'
_cell_length_a 4.0430
_cell_length_b 5.7215
_cell_length_c 6.9932
_cell_angle_alpha 114.15
_cell_angle_beta 106.75
_cell_angle_gamma 90.00
_symmetry_space_group_name_H-M 'P 1'
_symmetry_Int_Tables_number 1
loop_
_symmetry_equiv_pos_as_xyz
'x,y,z'
loop_
_atom_site_label
_atom_site_type_symbol
_atom_site_fract_x
_atom_site_fract_y
_atom_site_fract_z
V1 V 0.6672 0.6667 0.3333
V2 V 0.3328 0.3333 0.6667
Cr1 Cr 0.0000 0.0000 0.0000
Rh1 Rh 0.1659 0.4151 0.3315
Rh2 Rh 0.8341 0.0836 0.6685
Rh3 Rh 0.8341 0.5849 0.6685
Rh4 Rh 0.5000 0.2478 0.0000
Rh5 Rh 0.1659 0.9164 0.3315
Rh6 Rh 0.5000 0.7522 0.0000
# Magnetic moment = 0.5 Bohr magnetons per cell
# Energy of formation from the pure elements = -0.014 eV per atom
# DFT total energy = -72.1 eV per formula unit
# Calculated volume = 15.561 Å³ per atom